Compound: Na3LiIn3I8
Source: the Alexandria database
Functional: PBE
Structure: relaxed

Geometry as POSCAR:
```
Na3LiIn3I8
1.0
8.0320 -4.6389 0.0000
8.0320 4.6389 0.0000
-5.3472 0.0000 7.7458
Na Li In I
3 1 3 8
direct
0.0000 0.0000 0.0000
0.0000 0.5000 0.0000
0.5000 0.0000 0.0000
0.5000 0.5000 0.0000
0.0000 0.5000 0.5000
0.5000 0.0000 0.5000
0.5000 0.5000 0.5000
0.2438 0.2438 0.2312
0.2602 0.7320 0.2249
0.2680 0.2680 0.7757
0.2680 0.7398 0.7751
0.7320 0.2602 0.2249
0.7320 0.7320 0.2243
0.7398 0.2680 0.7751
0.7562 0.7562 0.7688
```

Output
Space group: C2/m, No. 12
Calculated total energy (Ry per atom): -0.1904


Compound: MnVRe
Source: the Alexandria database
Functional: PBE
Structure: relaxed

Geometry as POSCAR:
```
MnVRe
1.0
-1.2625 1.2625 6.9407
1.2625 -1.2625 6.9407
1.2625 1.2625 -6.9407
Mn V Re
1 1 1
direct
0.0000 0.0000 0.0000
0.8347 0.8347 0.0000
0.1755 0.1755 0.0000
```

Output
Space group: I4mm, No. 107
Energy relative to the elements (eV per atom): 0.78


For each record above, in turn, the calculated V values are 38.5; 14.8 Å³/atom.
For each record above, in turn, the calculated mass density values are 4.130; 10.960 g cm⁻³.